No. 1
This record from OQMD via LeMat-Bulk describes a relaxed BaAlZn2Si crystal. The functional is PBE-GGA.

Cell and atoms, written as extended XYZ:
```
5
Lattice="3.9045 -1.6133 4.6298 -1.5570 1.3205 5.9257 -2.6227 -2.6588 -5.0333" Properties=species:S:1:pos:R:3 pbc="T T T"
Si 1.4570 -0.1818 6.5514
Zn -1.5069 -0.7419 3.0672
Zn 1.2238 -2.2088 2.4192
Al 0.8943 -0.1116 4.0213
Ba 0.0041 -0.0005 0.0185
```

Symmetry = I4mm
VASP energy = -14.93 eV per cell

***

No. 2
This record from OQMD via LeMat-Bulk describes a relaxed LaHfPO crystal. The functional is PBE-GGA.

Cell and atoms, written as extended XYZ:
```
8
Lattice="-3.8408 -0.6315 -0.8618 1.4427 -5.7542 -2.2137 -0.9296 -2.5441 6.0071" Properties=species:S:1:pos:R:3 pbc="T T T"
Hf 0.0885 -6.5428 4.3995
La -1.6144 -1.7857 -0.7175
P 1.1558 -6.2847 -0.5461
O -1.9116 -6.3277 3.9350
Hf -0.0218 -2.9771 2.2783
La -1.3227 -6.0751 1.1253
P -0.6760 -2.1048 4.5550
O -1.7991 -3.6504 1.4721
```

Energy above the lowest structure with this stoichiometry = 133.0 meV per atom
Size of the total moment = 0.0 μB per formula unit
Symmetry = Pmc2_1
VASP energy = -65.80 eV per cell

***

No. 3
This record from OQMD via LeMat-Bulk describes a relaxed HfInSb crystal. The functional is PBE-GGA.

Cell and atoms, written as extended XYZ:
```
3
Lattice="2.4599 1.4202 4.0170 -2.4599 1.4202 4.0170 0.0000 -2.8404 4.0170" Properties=species:S:1:pos:R:3 pbc="T T T"
In 0.0000 0.0000 3.0127
Hf 0.0000 0.0000 9.0382
Sb 0.0000 0.0000 0.0000
```

Size of the total moment = 0.0 μB per formula unit
Symmetry = F-43m
VASP energy = -15.69 eV per cell

***

No. 4
This record from OQMD via LeMat-Bulk describes a relaxed CsAgO crystal. The functional is PBE-GGA.

Cell and atoms, written as extended XYZ:
```
6
Lattice="-2.3097 1.4425 -2.8686 1.5283 -2.6139 -2.5449 -6.0326 -5.5427 2.0701" Properties=species:S:1:pos:R:3 pbc="T T T"
O -0.3628 -2.3424 -0.8857
Ag 0.0000 0.0000 0.0000
Cs -3.1223 -1.0864 -0.7592
Ag -0.3907 -0.5857 -2.7068
O -6.0605 -3.7859 0.2490
Cs -3.3010 -5.0420 0.1225
```

Symmetry = P4/nmm
VASP energy = -20.02 eV per cell

***

No. 5
This record from OQMD via LeMat-Bulk describes a relaxed YCdCuSe3 crystal. The functional is PBE-GGA.

Cell and atoms, written as extended XYZ:
```
12
Lattice="-6.2160 2.1862 -1.5913 4.2646 -1.7558 4.9679 3.3635 10.0461 0.6632" Properties=species:S:1:pos:R:3 pbc="T T T"
Cd -2.9076 3.7696 0.1188
Y 1.6817 5.0231 0.3316
Y 0.0000 0.0000 0.0000
Se -0.5850 6.5670 1.1045
Se 1.9971 3.9095 2.9354
Se 4.0962 1.1354 4.5020
Cu 1.2704 7.8538 2.0127
Se -2.6841 9.3411 -0.4622
Cu 0.1417 2.6227 2.0272
Se 0.5953 10.0923 1.3372
Se 0.8168 0.3842 2.7027
Cd 4.3197 6.7069 3.9210
```

Size of the total moment = 0.0 μB per formula unit
Symmetry = Cmcm
VASP energy = -54.03 eV per cell

***

No. 6
This record from OQMD via LeMat-Bulk describes a relaxed TaBi crystal. The functional is PBE-GGA.

Cell and atoms, written as extended XYZ:
```
4
Lattice="4.5300 0.0000 0.0000 -2.2650 3.9231 0.0000 0.0000 0.0000 5.6664" Properties=species:S:1:pos:R:3 pbc="T T T"
Ta 0.0000 0.0000 0.0000
Bi 0.0000 2.6154 4.2498
Ta 0.0000 0.0000 2.8332
Bi 2.2650 1.3077 1.4166
```

Size of the total moment = 0.8 μB per formula unit
Symmetry = P6_3/mmc
VASP energy = -29.20 eV per cell

***

No. 7
This record from OQMD via LeMat-Bulk describes a relaxed YUTl crystal. The functional is PBE-GGA.

Cell and atoms, written as extended XYZ:
```
3
Lattice="0.0000 3.6674 3.6674 3.6674 0.0000 3.6674 3.6674 3.6674 0.0000" Properties=species:S:1:pos:R:3 pbc="T T T"
U 1.8337 1.8337 1.8337
Y 5.5012 5.5012 5.5012
Tl 0.0000 0.0000 0.0000
```

Energy above the lowest structure with this stoichiometry = 0.0 meV per atom
Size of the total moment = 4.0 μB per formula unit
Symmetry = F-43m
VASP energy = -18.11 eV per cell

***

No. 8
This record from OQMD via LeMat-Bulk describes a relaxed Ho2Tm3Hg3 crystal. The functional is PBE-GGA.

Cell and atoms, written as extended XYZ:
```
8
Lattice="6.8659 0.0000 0.0000 -3.4329 5.9460 0.0000 0.0000 0.0000 5.1679" Properties=species:S:1:pos:R:3 pbc="T T T"
Tm 3.4329 0.0354 0.0000
Hg 5.1332 1.0004 2.5839
Tm 5.1187 2.9553 0.0000
Ho 0.0000 3.9640 2.5839
Ho 0.0000 0.0000 0.0000
Hg 3.4329 3.9453 2.5839
Tm 1.7472 2.9553 0.0000
Hg 1.7327 1.0004 2.5839
```

Energy above the lowest structure with this stoichiometry = 33.5 meV per atom
Formation enthalpy at 0 K = -144.3 meV per atom
Size of the total moment = 0.2 μB per formula unit
Symmetry = P-6m2
VASP energy = -24.62 eV per cell